(1)
This record from Alexandria via LeMat-Bulk describes an optimized crystal structure of Ce4GeSb5. The functional is PBE.

Geometry as CIF:
```
data_Ce4GeSb5
_chemical_formula_sum 'Ce4 Ge1 Sb5'
_cell_length_a 5.7243
_cell_length_b 6.2185
_cell_length_c 9.4738
_cell_angle_alpha 71.53
_cell_angle_beta 107.58
_cell_angle_gamma 90.00
_symmetry_space_group_name_H-M 'P 1'
_symmetry_Int_Tables_number 1
loop_
_symmetry_equiv_pos_as_xyz
'x,y,z'
loop_
_atom_site_label
_atom_site_fract_x
_atom_site_fract_y
_atom_site_fract_z
Ce1 0.3380 0.9267 0.6760
Ce2 0.0088 0.7522 0.0175
Ce3 0.6620 0.0733 0.3240
Ce4 0.9912 0.2478 0.9825
Ge1 0.5000 0.0000 0.0000
Sb1 0.8319 0.6763 0.6638
Sb2 0.8278 0.1705 0.6556
Sb3 0.1722 0.8295 0.3444
Sb4 0.5000 0.5000 0.0000
Sb5 0.1681 0.3237 0.3362
```

Computed properties:
- density (Mg/m³) = 6.8
- DOS at the Fermi energy (states/eV/f.u.) = 17.25
- E above lowest polymorph (eV/atom) = 0.124
- total magnetization (μB per cell) = 2.1
- ΔE_f (raw) (eV per atom) = -0.647



(2)
This record from Alexandria via LeMat-Bulk describes an optimized crystal structure of Li2Ga2Pt. The functional is PBE.

Geometry as CIF:
```
data_Li2Ga2Pt
_chemical_formula_sum 'Li4 Ga4 Pt2'
_cell_length_a 3.9683
_cell_length_b 4.7157
_cell_length_c 9.7698
_cell_angle_alpha 61.61
_cell_angle_beta 78.28
_cell_angle_gamma 65.12
_symmetry_space_group_name_H-M 'P 1'
_symmetry_Int_Tables_number 1
loop_
_symmetry_equiv_pos_as_xyz
'x,y,z'
loop_
_atom_site_label
_atom_site_fract_x
_atom_site_fract_y
_atom_site_fract_z
Li1 0.3359 0.2743 0.0539
Li2 0.5714 0.2061 0.6510
Li3 0.6641 0.7257 0.9461
Li4 0.4286 0.7939 0.3490
Ga1 0.9725 0.2142 0.8408
Ga2 0.1457 0.2544 0.4542
Ga3 0.0275 0.7858 0.1592
Ga4 0.8543 0.7456 0.5458
Pt1 0.7175 0.3040 0.2610
Pt2 0.2825 0.6960 0.7390
```

Computed properties:
- density (Mg/m³) = 7.9
- DOS at the Fermi energy (states/eV/f.u.) = 1.29
- formation enthalpy at 0 K (eV/atom) = -0.549
- E above lowest polymorph (eV/atom) = 0.085
- total magnetization (μB per cell) = 0.0